{
  "formula": "CsLiBi",
  "functional": "PBE",
  "state": "optimized geometry",
  "cell": [[-2.050, 2.050, 6.882], [2.050, -2.050, 6.882], [2.050, 2.050, -6.882]],
  "species": ["Cs", "Li", "Bi"],
  "frac_coords": [[0.000, 0.000, 0.000], [0.257, 0.257, 0.000], [0.708, 0.708, 0.000]],
  "de_polymorph_mev_per_atom": 85,
  "volume_a3_per_atom": 38.549,
  "spacegroup": "I4mm (107)",
  "dos_ef_per_ev_fu": 1.0,
  "delta_e_f_ev_per_fu": -0.9,
  "magmom_total_mub_per_atom": 0.00,
  "dft_energy_ev_per_cell": -7.51
}

{
  "formula": "Cs2Li2Bi",
  "functional": "PBE",
  "state": "optimized geometry",
  "cell": [[2.487, 1.436, 11.538], [-2.487, 1.436, 11.538], [0.000, -2.872, 11.538]],
  "species": ["Cs", "Cs", "Li", "Li", "Bi"],
  "frac_coords": [[0.071, 0.071, 0.071], [0.929, 0.929, 0.929], [0.176, 0.176, 0.176], [0.824, 0.824, 0.824], [0.500, 0.500, 0.500]],
  "de_polymorph_mev_per_atom": 0,
  "volume_a3_per_atom": 49.436,
  "spacegroup": "R-3m (166)",
  "dos_ef_per_ev_fu": 2.1,
  "delta_e_f_ev_per_fu": -1.8,
  "magmom_total_mub_per_atom": 0.00,
  "dft_energy_ev_per_cell": -11.24
}

{
  "formula": "CsLi2Bi2",
  "functional": "PBE",
  "state": "optimized geometry",
  "cell": [[9.713, 0.000, 0.000], [0.000, 9.713, 0.000], [0.000, 0.000, 3.406]],
  "species": ["Cs", "Cs", "Li", "Li", "Li", "Li", "Bi", "Bi", "Bi", "Bi"],
  "frac_coords": [[0.000, 0.000, 0.000], [0.500, 0.500, 0.000], [0.134, 0.366, 0.500], [0.366, 0.866, 0.500], [0.634, 0.134, 0.500], [0.866, 0.634, 0.500], [0.133, 0.633, 0.000], [0.367, 0.133, 0.000], [0.633, 0.867, 0.000], [0.867, 0.367, 0.000]],
  "de_polymorph_mev_per_atom": 84,
  "volume_a3_per_atom": 32.135,
  "spacegroup": "P4/mbm (127)",
  "dos_ef_per_ev_fu": 2.5,
  "delta_e_f_ev_per_fu": -1.4,
  "magmom_total_mub_per_atom": 0.00,
  "dft_energy_ev_per_cell": -27.70
}

{
  "formula": "Cs3LiBi",
  "functional": "PBE",
  "state": "optimized geometry",
  "cell": [[7.572, 0.000, 0.000], [0.000, 7.572, 0.000], [0.000, 0.000, 7.572]],
  "species": ["Cs", "Cs", "Cs", "Li", "Bi"],
  "frac_coords": [[0.000, 0.000, 0.500], [0.000, 0.500, 0.000], [0.500, 0.000, 0.000], [0.500, 0.500, 0.500], [0.000, 0.000, 0.000]],
  "de_polymorph_mev_per_atom": 213,
  "volume_a3_per_atom": 86.844,
  "spacegroup": "Pm-3m (221)",
  "dos_ef_per_ev_fu": 7.0,
  "delta_e_f_ev_per_fu": 0.2,
  "magmom_total_mub_per_atom": 0.22,
  "dft_energy_ev_per_cell": -8.15
}

{
  "formula": "CsLiBi3",
  "functional": "PBE",
  "state": "optimized geometry",
  "cell": [[5.526, 0.000, 0.000], [0.000, 5.526, 0.000], [0.000, 0.000, 5.526]],
  "species": ["Cs", "Li", "Bi", "Bi", "Bi"],
  "frac_coords": [[0.000, 0.000, 0.000], [0.500, 0.500, 0.500], [0.000, 0.500, 0.500], [0.500, 0.000, 0.500], [0.500, 0.500, 0.000]],
  "de_polymorph_mev_per_atom": 0,
  "volume_a3_per_atom": 33.744,
  "spacegroup": "Pm-3m (221)",
  "dos_ef_per_ev_fu": 3.1,
  "delta_e_f_ev_per_fu": -0.1,
  "magmom_total_mub_per_atom": 0.00,
  "dft_energy_ev_per_cell": -14.55
}

{
  "formula": "CsLiBi",
  "functional": "PBE",
  "state": "optimized geometry",
  "cell": [[4.580, 0.000, 0.000], [2.289, 4.873, 0.000], [0.035, 2.105, 12.688]],
  "species": ["Cs", "Cs", "Li", "Li", "Bi", "Bi"],
  "frac_coords": [[0.190, 0.123, 0.200], [0.810, 0.877, 0.800], [0.366, 0.768, 0.539], [0.634, 0.232, 0.461], [0.084, 0.329, 0.609], [0.916, 0.671, 0.391]],
  "de_polymorph_mev_per_atom": 17,
  "volume_a3_per_atom": 47.196,
  "spacegroup": "P-1 (2)",
  "dos_ef_per_ev_fu": 1.1,
  "delta_e_f_ev_per_fu": -1.1,
  "magmom_total_mub_per_atom": 0.00,
  "dft_energy_ev_per_cell": -15.42
}

{
  "formula": "CsLi12Bi6",
  "functional": "PBE",
  "state": "optimized geometry",
  "cell": [[6.471, 3.736, 3.389], [-6.471, 3.736, 3.389], [0.000, -7.472, 3.389]],
  "species": ["Cs", "Li", "Li", "Li", "Li", "Li", "Li", "Li", "Li", "Li", "Li", "Li", "Li", "Bi", "Bi", "Bi", "Bi", "Bi", "Bi"],
  "frac_coords": [[0.000, 0.000, 0.000], [0.122, 0.500, 0.878], [0.122, 0.878, 0.500], [0.141, 0.439, 0.439], [0.439, 0.141, 0.439], [0.439, 0.439, 0.141], [0.500, 0.122, 0.878], [0.500, 0.878, 0.122], [0.561, 0.561, 0.859], [0.561, 0.859, 0.561], [0.859, 0.561, 0.561], [0.878, 0.122, 0.500], [0.878, 0.500, 0.122], [0.249, 0.249, 0.693], [0.249, 0.693, 0.249], [0.307, 0.751, 0.751], [0.693, 0.249, 0.249], [0.751, 0.307, 0.751], [0.751, 0.751, 0.307]],
  "volume_a3_per_atom": 25.877,
  "spacegroup": "R-3m (166)",
  "dos_ef_per_ev_fu": 8.2,
  "delta_e_f_ev_per_fu": -6.8,
  "magmom_total_mub_per_atom": 0.00,
  "dft_energy_ev_per_cell": -53.90
}

{
  "formula": "Cs3LiBi",
  "functional": "PBE",
  "state": "optimized geometry",
  "cell": [[3.248, -6.568, 0.000], [3.248, 6.568, 0.000], [0.000, 0.000, 11.861]],
  "species": ["Cs", "Cs", "Cs", "Cs", "Cs", "Cs", "Li", "Li", "Bi", "Bi"],
  "frac_coords": [[0.082, 0.918, 0.750], [0.193, 0.807, 0.070], [0.193, 0.807, 0.430], [0.807, 0.193, 0.570], [0.807, 0.193, 0.930], [0.918, 0.082, 0.250], [0.443, 0.557, 0.750], [0.557, 0.443, 0.250], [0.500, 0.500, 0.000], [0.500, 0.500, 0.500]],
  "de_polymorph_mev_per_atom": 0,
  "volume_a3_per_atom": 50.606,
  "spacegroup": "Cmcm (63)",
  "dos_ef_per_ev_fu": 2.6,
  "delta_e_f_ev_per_fu": -0.9,
  "magmom_total_mub_per_atom": 0.04,
  "dft_energy_ev_per_cell": -18.44
}

{
  "formula": "CsLiBi4",
  "functional": "PBE",
  "state": "optimized geometry",
  "cell": [[0.000, 4.811, 4.811], [4.811, 0.000, 4.811], [4.811, 4.811, 0.000]],
  "species": ["Cs", "Li", "Bi", "Bi", "Bi", "Bi"],
  "frac_coords": [[0.000, 0.000, 0.000], [0.750, 0.750, 0.750], [0.375, 0.375, 0.375], [0.375, 0.375, 0.875], [0.375, 0.875, 0.375], [0.875, 0.375, 0.375]],
  "volume_a3_per_atom": 37.128,
  "spacegroup": "F-43m (216)",
  "dos_ef_per_ev_fu": 7.2,
  "delta_e_f_ev_per_fu": -0.5,
  "magmom_total_mub_per_atom": 0.00,
  "dft_energy_ev_per_cell": -18.81
}

{
  "formula": "Cs2Li2Bi",
  "functional": "PBE",
  "state": "optimized geometry",
  "cell": [[7.900, 0.000, 0.000], [0.000, 7.900, 0.000], [0.000, 0.000, 6.427]],
  "species": ["Cs", "Cs", "Cs", "Cs", "Li", "Li", "Li", "Li", "Bi", "Bi"],
  "frac_coords": [[0.202, 0.298, 0.000], [0.298, 0.798, 0.000], [0.702, 0.202, 0.000], [0.798, 0.702, 0.000], [0.169, 0.669, 0.500], [0.331, 0.169, 0.500], [0.669, 0.831, 0.500], [0.831, 0.331, 0.500], [0.000, 0.000, 0.500], [0.500, 0.500, 0.500]],
  "de_polymorph_mev_per_atom": 185,
  "volume_a3_per_atom": 40.114,
  "spacegroup": "P4/mbm (127)",
  "dos_ef_per_ev_fu": 2.4,
  "delta_e_f_ev_per_fu": -0.9,
  "magmom_total_mub_per_atom": 0.00,
  "dft_energy_ev_per_cell": -20.63
}

{
  "formula": "CsLi2Bi2",
  "functional": "PBE",
  "state": "optimized geometry",
  "cell": [[-2.670, 2.670, 5.740], [2.670, -2.670, 5.740], [2.670, 2.670, -5.740]],
  "species": ["Cs", "Li", "Li", "Bi", "Bi"],
  "frac_coords": [[0.000, 0.000, 0.000], [0.250, 0.750, 0.500], [0.750, 0.250, 0.500], [0.369, 0.369, 0.000], [0.631, 0.631, 0.000]],
  "de_polymorph_mev_per_atom": 0,
  "volume_a3_per_atom": 32.729,
  "spacegroup": "I4/mmm (139)",
  "dos_ef_per_ev_fu": 3.6,
  "delta_e_f_ev_per_fu": -1.8,
  "magmom_total_mub_per_atom": 0.00,
  "dft_energy_ev_per_cell": -14.27
}

{
  "formula": "CsLi3Bi2",
  "functional": "PBE",
  "state": "optimized geometry",
  "cell": [[8.978, -2.520, 0.000], [8.978, 2.520, 0.000], [-3.139, 0.000, 8.090]],
  "species": ["Cs", "Cs", "Li", "Li", "Li", "Li", "Li", "Li", "Bi", "Bi", "Bi", "Bi"],
  "frac_coords": [[0.167, 0.167, 0.087], [0.833, 0.833, 0.913], [0.002, 0.002, 0.669], [0.309, 0.309, 0.554], [0.411, 0.411, 0.357], [0.589, 0.589, 0.643], [0.691, 0.691, 0.446], [0.998, 0.998, 0.331], [0.154, 0.154, 0.594], [0.476, 0.476, 0.813], [0.524, 0.524, 0.187], [0.846, 0.846, 0.406]],
  "volume_a3_per_atom": 30.501,
  "spacegroup": "C2/m (12)",
  "dos_ef_per_ev_fu": 3.7,
  "delta_e_f_ev_per_fu": -2.4,
  "magmom_total_mub_per_atom": 0.00,
  "dft_energy_ev_per_cell": -33.54
}